Material: TmSnPb
Method: DFT, PBE
State: optimized geometry

It has space group I4mm (No. 107), with a = 3.333 Å, b = 3.333 Å, c = 16.741 Å, α = 90.00°, β = 90.00° and γ = 90.00°. Symmetry generates all atoms from Tm at (0.000, 0.000, 0.000), Sn at (0.000, 0.000, 0.183) and Pb at (0.000, 0.000, 0.364).

The total DFT energy (no corrections) is -4.002 eV per atom. As for the calculated formation energy: 0.059 eV per atom. The value obtained for the density of states at the Fermi level is 2.39 states/eV/f.u. The total magnetic moment comes out at 0.7 μB/cell.

=====

Material: Tm5SnPb4
Method: DFT, PBE
State: optimized geometry

It has space group I4 (No. 79), with a = 9.824 Å, b = 9.824 Å, c = 6.212 Å, α = 90.00°, β = 90.00° and γ = 90.00°. Symmetry generates all atoms from Tm at (0.000, 0.000, 0.000), Tm at (0.100, 0.706, 0.498), Sn at (0.000, 0.000, 0.500) and Pb at (0.096, 0.697, 0.998).

The total DFT energy (no corrections) is -4.413 eV per atom. As for the calculated formation energy: -0.294 eV per atom. The value obtained for the density of states at the Fermi level is 8.91 states/eV/f.u. The total magnetic moment comes out at 0.0 μB/cell.

=====

Material: Tm5SnPb2
Method: DFT, PBE
State: optimized geometry

It has space group I4/mcm (No. 140), with a = 8.174 Å, b = 8.174 Å, c = 13.440 Å, α = 90.00°, β = 90.00° and γ = 90.00°. Symmetry generates all atoms from Tm at (0.000, 0.000, 0.000), Tm at (0.153, 0.347, 0.153), Sn at (0.000, 0.000, 0.250) and Pb at (0.149, 0.351, 0.500).

The total DFT energy (no corrections) is -4.700 eV per atom. As for the calculated formation energy: -0.478 eV per atom. The value obtained for the density of states at the Fermi level is 5.21 states/eV/f.u. The total magnetic moment comes out at 0.0 μB/cell.

=====

Material: Tm8Sn5Pb
Method: DFT, PBE
State: optimized geometry

It has space group I-4 (No. 82), with a = 9.183 Å, b = 9.183 Å, c = 9.189 Å, α = 90.00°, β = 90.00° and γ = 90.00°. Symmetry generates all atoms from Tm at (0.072, 0.179, 0.306), Tm at (0.072, 0.324, 0.947), Sn at (0.000, 0.500, 0.250), Sn at (0.125, 0.250, 0.626) and Pb at (0.000, 0.000, 0.000).

The total DFT energy (no corrections) is -4.903 eV per atom. As for the calculated formation energy: -0.654 eV per atom. The value obtained for the density of states at the Fermi level is 1.38 states/eV/f.u. The total magnetic moment comes out at 0.0 μB/cell.

=====

Material: Tm2SnPb
Method: DFT, PBE
State: optimized geometry

It has space group R-3m (No. 166, hexagonal axes), with a = 3.7991 Å, b = 3.7991 Å, c = 27.1286 Å, α = 90.00°, β = 90.00° and γ = 120.00°. Symmetry generates all atoms from Tm at (0.0000, 0.0000, 0.2479), Sn at (0.0000, 0.0000, 0.5000) and Pb at (0.0000, 0.0000, 0.0000).

The total DFT energy (no corrections) is -4.561 eV per atom. As for the calculated formation energy: -0.398 eV per atom. The value obtained for the density of states at the Fermi level is 2.34 states/eV/f.u. The total magnetic moment comes out at 0.0 μB/cell.

=====

Material: Tm8Sn2Pb
Method: DFT, PBE
State: optimized geometry

It has space group C2/m (No. 12), with a = 19.469 Å, b = 4.955 Å, c = 6.821 Å, α = 90.00°, β = 103.23° and γ = 90.00°. Symmetry generates all atoms from Tm at (0.024, 0.000, 0.258), Tm at (0.093, 0.500, 0.981), Tm at (0.160, 0.500, 0.506), Tm at (0.218, 0.000, 0.832), Sn at (0.182, 0.000, 0.262) and Pb at (0.000, 0.500, 0.500).

The total DFT energy (no corrections) is -4.624 eV per atom. As for the calculated formation energy: -0.307 eV per atom. The value obtained for the density of states at the Fermi level is 11.88 states/eV/f.u. The total magnetic moment comes out at 0.0 μB/cell.

=====

Material: Tm2SnPb
Method: DFT, PBE
State: optimized geometry

It has space group R3m (No. 160, hexagonal axes), with a = 4.7237 Å, b = 4.7237 Å, c = 19.1013 Å, α = 90.00°, β = 90.00° and γ = 120.00°. Symmetry generates all atoms from Tm at (0.0000, 0.0000, 0.0000), Tm at (0.0000, 0.0000, 0.1825), Sn at (0.0000, 0.0000, 0.5937) and Pb at (0.0000, 0.0000, 0.7595).

The total DFT energy (no corrections) is -4.560 eV per atom. As for the calculated formation energy: -0.397 eV per atom. The value obtained for the density of states at the Fermi level is 1.76 states/eV/f.u. The total magnetic moment comes out at 0.0 μB/cell.

=====

Material: TmSn2Pb
Method: DFT, PBE
State: optimized geometry

It has space group R-3m (No. 166, hexagonal axes), with a = 4.8899 Å, b = 4.8899 Å, c = 24.2892 Å, α = 90.00°, β = 90.00° and γ = 120.00°. Symmetry generates all atoms from Tm at (0.0000, 0.0000, 0.0000), Sn at (0.0000, 0.0000, 0.3803) and Pb at (0.0000, 0.0000, 0.5000).

The total DFT energy (no corrections) is -3.727 eV per atom. As for the calculated formation energy: 0.319 eV per atom. The value obtained for the density of states at the Fermi level is 3.75 states/eV/f.u. The total magnetic moment comes out at 0.0 μB/cell.

=====

Material: Tm7SnPb5
Method: DFT, PBE
State: optimized geometry

It has space group Imm2 (No. 44), with a = 6.277 Å, b = 11.457 Å, c = 10.555 Å, α = 90.00°, β = 90.00° and γ = 90.00°. Symmetry generates all atoms from Tm at (0.000, 0.000, 0.000), Tm at (0.000, 0.000, 0.404), Tm at (0.000, 0.334, 0.606), Tm at (0.000, 0.341, 0.093), Tm at (0.000, 0.500, 0.348), Sn at (0.000, 0.000, 0.692), Pb at (0.000, 0.500, 0.845) and Pb at (0.249, 0.258, 0.351).

The total DFT energy (no corrections) is -4.382 eV per atom. As for the calculated formation energy: -0.240 eV per atom. The value obtained for the density of states at the Fermi level is 10.81 states/eV/f.u. The total magnetic moment comes out at 0.0 μB/cell.

=====

Material: Tm10Sn3Pb3
Method: DFT, PBE
State: optimized geometry

It has space group P-62m (No. 189), with a = 8.8844 Å, b = 8.8844 Å, c = 6.4846 Å, α = 90.00°, β = 90.00° and γ = 120.00°. Symmetry generates all atoms from Tm at (0.0000, 0.2365, 0.0000), Tm at (0.0000, 0.7639, 0.5000), Tm at (0.3333, 0.6667, 0.2470), Sn at (0.0000, 0.6056, 0.0000) and Pb at (0.0000, 0.3955, 0.5000).

The total DFT energy (no corrections) is -4.840 eV per atom. As for the calculated formation energy: -0.599 eV per atom. The value obtained for the density of states at the Fermi level is 8.29 states/eV/f.u. The total magnetic moment comes out at 0.0 μB/cell.

=====

Material: Tm2SnPb
Method: DFT, PBE
State: optimized geometry

It has space group P4/mmm (No. 123), with a = 3.483 Å, b = 3.483 Å, c = 8.763 Å, α = 90.00°, β = 90.00° and γ = 90.00°. Symmetry generates all atoms from Tm at (0.000, 0.000, 0.243), Sn at (0.500, 0.500, 0.000) and Pb at (0.500, 0.500, 0.500).

The total DFT energy (no corrections) is -4.638 eV per atom. As for the calculated formation energy: -0.474 eV per atom. The value obtained for the density of states at the Fermi level is 2.98 states/eV/f.u. The total magnetic moment comes out at 0.0 μB/cell.

=====

Material: Tm5SnPb2
Method: DFT, PBE
State: optimized geometry

It has space group Cmcm (No. 63), with a = 5.416 Å, b = 11.430 Å, c = 15.068 Å, α = 90.00°, β = 90.00° and γ = 90.00°. Symmetry generates all atoms from Tm at (0.000, 0.044, 0.250), Tm at (0.000, 0.121, 0.553), Tm at (0.000, 0.426, 0.595), Sn at (0.000, 0.239, 0.750) and Pb at (0.000, 0.282, 0.123).

The total DFT energy (no corrections) is -4.417 eV per atom. As for the calculated formation energy: -0.194 eV per atom. The value obtained for the density of states at the Fermi level is 7.40 states/eV/f.u. The total magnetic moment comes out at 0.0 μB/cell.

=====

Material: TmSn2Pb
Method: DFT, PBE
State: optimized geometry

It has space group P4/mmm (No. 123), with a = 4.773 Å, b = 4.773 Å, c = 4.719 Å, α = 90.00°, β = 90.00° and γ = 90.00°. Symmetry generates all atoms from Tm at (0.000, 0.000, 0.000), Sn at (0.000, 0.500, 0.500) and Pb at (0.500, 0.500, 0.000).

The total DFT energy (no corrections) is -4.353 eV per atom. As for the calculated formation energy: -0.307 eV per atom. The value obtained for the density of states at the Fermi level is 2.49 states/eV/f.u. The total magnetic moment comes out at 0.0 μB/cell.

=====

Material: TmSn2Pb
Method: DFT, PBE
State: optimized geometry

It has space group P4/mmm (No. 123), with a = 4.136 Å, b = 4.136 Å, c = 6.441 Å, α = 90.00°, β = 90.00° and γ = 90.00°. Symmetry generates all atoms from Tm at (0.000, 0.000, 0.000), Sn at (0.500, 0.500, 0.235) and Pb at (0.000, 0.000, 0.500).

The total DFT energy (no corrections) is -4.324 eV per atom. As for the calculated formation energy: -0.278 eV per atom. The value obtained for the density of states at the Fermi level is 1.56 states/eV/f.u. The total magnetic moment comes out at 0.0 μB/cell.

=====

Material: Tm7Sn2Pb2
Method: DFT, PBE
State: optimized geometry

It has space group Cmmm (No. 65), with a = 7.821 Å, b = 10.982 Å, c = 7.832 Å, α = 90.00°, β = 90.00° and γ = 90.00°. Symmetry generates all atoms from Tm at (0.000, 0.000, 0.000), Tm at (0.000, 0.500, 0.265), Tm at (0.250, 0.250, 0.294), Sn at (0.182, 0.000, 0.500) and Pb at (0.000, 0.295, 0.000).

The total DFT energy (no corrections) is -4.381 eV per atom. As for the calculated formation energy: -0.133 eV per atom. The value obtained for the density of states at the Fermi level is 9.64 states/eV/f.u. The total magnetic moment comes out at 0.0 μB/cell.

=====

Material: USnPb
Method: DFT, PBE
State: optimized geometry

It has space group P-3m1 (No. 164), with a = 3.2240 Å, b = 3.2240 Å, c = 17.9438 Å, α = 90.00°, β = 90.00° and γ = 120.00°. Symmetry generates all atoms from U at (0.3333, 0.6667, 0.2331), Sn at (0.3333, 0.6667, 0.9200) and Pb at (0.3333, 0.6667, 0.6015).

The total DFT energy (no corrections) is -6.083 eV per atom. As for the calculated formation energy: 0.250 eV per atom. The value obtained for the density of states at the Fermi level is 6.19 states/eV/f.u. The total magnetic moment comes out at 4.7 μB/cell.

=====

Material: U2Sn3Pb3
Method: DFT, PBE
State: optimized geometry

It has space group Pmmm (No. 47), with a = 4.674 Å, b = 4.812 Å, c = 9.426 Å, α = 90.00°, β = 90.00° and γ = 90.00°. Symmetry generates all atoms from U at (0.000, 0.000, 0.244), Sn at (0.000, 0.500, 0.000), Sn at (0.500, 0.000, 0.000), Sn at (0.500, 0.000, 0.500), Pb at (0.000, 0.500, 0.500) and Pb at (0.500, 0.500, 0.247).

The total DFT energy (no corrections) is -5.692 eV per atom. As for the calculated formation energy: 0.022 eV per atom. The value obtained for the density of states at the Fermi level is 16.19 states/eV/f.u. The total magnetic moment comes out at 5.0 μB/cell.

=====

Material: USnPb
Method: DFT, PBE
State: optimized geometry

It has space group P3m1 (No. 156), with a = 5.5024 Å, b = 5.5024 Å, c = 3.0673 Å, α = 90.00°, β = 90.00° and γ = 120.00°. Symmetry generates all atoms from U at (0.0000, 0.0000, 0.0000), Sn at (0.6667, 0.3333, 0.5010) and Pb at (0.3333, 0.6667, 0.4987).

The total DFT energy (no corrections) is -6.108 eV per atom. As for the calculated formation energy: 0.225 eV per atom. The value obtained for the density of states at the Fermi level is 4.68 states/eV/f.u. The total magnetic moment comes out at 3.2 μB/cell.

=====

Material: U2Sn9Pb
Method: DFT, PBE
State: optimized geometry

It has space group P4/mmm (No. 123), with a = 4.624 Å, b = 4.624 Å, c = 14.757 Å, α = 90.00°, β = 90.00° and γ = 90.00°. Symmetry generates all atoms from U at (0.000, 0.000, 0.153), Sn at (0.000, 0.500, 0.000), Sn at (0.000, 0.500, 0.321), Sn at (0.500, 0.500, 0.160), Sn at (0.500, 0.500, 0.500) and Pb at (0.000, 0.000, 0.500).

The total DFT energy (no corrections) is -5.218 eV per atom. As for the calculated formation energy: -0.025 eV per atom. The value obtained for the density of states at the Fermi level is 18.29 states/eV/f.u. The total magnetic moment comes out at 4.9 μB/cell.

=====

Material: VSnPb2
Method: DFT, PBE
State: optimized geometry

It has space group R-3m (No. 166, hexagonal axes), with a = 3.3370 Å, b = 3.3370 Å, c = 34.9265 Å, α = 90.00°, β = 90.00° and γ = 120.00°. Symmetry generates all atoms from V at (0.0000, 0.0000, 0.0000), Sn at (0.0000, 0.0000, 0.5000) and Pb at (0.0000, 0.0000, 0.0825).

The total DFT energy (no corrections) is -4.503 eV per atom. As for the calculated formation energy: 0.631 eV per atom. The value obtained for the density of states at the Fermi level is 4.71 states/eV/f.u. The total magnetic moment comes out at 10.6 μB/cell.

=====

Material: V2SnPb
Method: DFT, PBE
State: optimized geometry

It has space group Fm-3m (No. 225), with a = 6.667 Å, b = 6.667 Å, c = 6.667 Å, α = 90.00°, β = 90.00° and γ = 90.00°. Symmetry generates all atoms from V at (0.250, 0.250, 0.250), Sn at (0.000, 0.000, 0.000) and Pb at (0.000, 0.000, 0.500).

The total DFT energy (no corrections) is -5.971 eV per atom. As for the calculated formation energy: 0.516 eV per atom. The value obtained for the density of states at the Fermi level is 7.44 states/eV/f.u. The total magnetic moment comes out at 0.0 μB/cell.

=====

Material: VSnPb
Method: DFT, PBE
State: optimized geometry

It has space group Fmmm (No. 69), with a = 5.410 Å, b = 9.688 Å, c = 9.867 Å, α = 90.00°, β = 90.00° and γ = 90.00°. Symmetry generates all atoms from V at (0.250, 0.250, 0.250), Sn at (0.000, 0.000, 0.165) and Pb at (0.000, 0.163, 0.500).

The total DFT energy (no corrections) is -5.467 eV per atom. As for the calculated formation energy: 0.143 eV per atom. The value obtained for the density of states at the Fermi level is 2.66 states/eV/f.u. The total magnetic moment comes out at 1.9 μB/cell.

=====

Material: V2Sn2Pb
Method: DFT, PBE
State: optimized geometry

It has space group P4/mbm (No. 127), with a = 7.156 Å, b = 7.156 Å, c = 3.993 Å, α = 90.00°, β = 90.00° and γ = 90.00°. Symmetry generates all atoms from V at (0.124, 0.376, 0.000), Sn at (0.163, 0.663, 0.500) and Pb at (0.000, 0.000, 0.000).

The total DFT energy (no corrections) is -5.732 eV per atom. As for the calculated formation energy: 0.258 eV per atom. The value obtained for the density of states at the Fermi level is 4.77 states/eV/f.u. The total magnetic moment comes out at 0.9 μB/cell.

=====

Material: VSnPb2
Method: DFT, PBE
State: optimized geometry

It has space group I-42d (No. 122), with a = 4.446 Å, b = 4.446 Å, c = 21.779 Å, α = 90.00°, β = 90.00° and γ = 90.00°. Symmetry generates all atoms from V at (0.000, 0.000, 0.000), Sn at (0.000, 0.000, 0.500) and Pb at (0.244, 0.250, 0.125).

The total DFT energy (no corrections) is -4.637 eV per atom. As for the calculated formation energy: 0.497 eV per atom. The value obtained for the density of states at the Fermi level is 4.34 states/eV/f.u. The total magnetic moment comes out at 11.8 μB/cell.